Y3TePSe | PBE | optimized geometry

a b c (Å): 6.9464 14.5379 6.8510
angles (deg): 90.00 107.26 90.00
Closest atoms and distances in Å follow each position.
Space group C2/c (No. 15)
Inequivalent atoms, fractional coordinates:
1 Y 0.0000 0.2451 0.2500 x4  1 P 2.66, 1 Se 2.80
2 Y 0.2339 0.0680 0.9979 x8  2 P 2.70-2.73, 2 Se 2.84-2.86
3 Te 0.0000 0.2515 0.7500 x4  8 Y 3.32-3.47
4 P 0.0000 0.0621 0.2500 x4  5 Y 2.66-2.73
5 Se 0.0000 0.4378 0.2500 x4  5 Y 2.80-2.86

Properties
DOS(E_F)   17.7 states/eV per cell
Energy relative to the elements, uncorrected   -1.385 eV per atom


Y8Te4P3Se | PBE | optimized geometry

a b c (Å): 8.2749 8.2749 21.2327
angles (deg): 90.00 90.00 120.00
Closest atoms and distances in Å follow each position.
Space group R-3m (No. 166, hexagonal axes)
Inequivalent atoms, fractional coordinates:
1 Y 0.0000 0.0000 0.2363 x6  3 P 2.81
2 Y 0.0113 0.5057 0.7630 x18  2 P 2.78, 1 Se 2.89, 1 Te 3.08
3 Te 0.0000 0.0000 0.0000 x3  6 Y 3.08
4 Te 0.0000 0.5000 0.0000 x9  6 Y 3.16-3.18
5 P 0.0000 0.5000 0.5000 x9  6 Y 2.78-2.81
6 Se 0.0000 0.0000 0.5000 x3  6 Y 2.89

Properties
DOS(E_F)   22.5 states/eV per cell
Energy relative to the elements, uncorrected   -1.581 eV per atom


> Which value of energy relative to the elements, uncorrected does entry 2 give?

-1.581 eV per atom


> What is the DOS(E_F) in the second record?

22.5 states/eV per cell